(1)
A relaxed structure of CrInAg2, computed with PBE.

Cell and atoms, written as POSCAR:
```
CrInAg2
1.0
-7.778 -5.149 0.799
-6.024 -6.537 2.938
-7.632 -3.995 3.667
Ag Cr In
2 1 1
Direct
0.998 0.998 0.998
0.248 0.248 0.248
0.502 0.502 0.502
0.752 0.752 0.752
```

Properties
**Energy relative to the elements**: 0.35 eV/atom
**Symmetry**: R3m (160)
**Total magnetization**: 3.79 μB/f.u.



(2)
A relaxed structure of CrInAg4, computed with PBE.

Cell and atoms, written as POSCAR:
```
CrInAg4
1.0
1.402 -5.316 0.045
-3.578 -3.801 -1.725
0.876 -2.652 -4.736
Cr In Ag
1 1 4
Direct
0.750 0.750 0.750
0.000 0.000 0.000
0.874 0.375 0.375
0.375 0.375 0.874
0.375 0.874 0.375
0.375 0.375 0.375
```

Properties
**Energy relative to the elements**: 0.28 eV/atom
**Symmetry**: F-43m (216)
**Total magnetization**: 4.05 μB/f.u.



(3)
A relaxed structure of CrIn2Ag, computed with PBE.

Cell and atoms, written as POSCAR:
```
CrIn2Ag
1.0
-3.023 0.870 3.830
-0.126 0.202 4.950
0.928 5.485 0.868
Ag Cr In
1 1 2
Direct
0.750 0.750 0.750
0.250 0.250 0.250
0.999 0.999 0.004
0.501 0.501 0.496
```

Properties
**Energy relative to the elements**: 0.27 eV/atom
**Symmetry**: C2/m (12)
**Total magnetization**: 3.95 μB/f.u.
**Polymorph energy (0 for the lowest one)**: 0.223 eV/f.u.



(4)
A relaxed structure of CrInAg2, computed with PBE.

Cell and atoms, written as POSCAR:
```
CrInAg2
1.0
4.014 0.000 0.000
0.000 4.014 0.000
2.007 2.007 10.096
Cr Ag In
2 4 2
Direct
0.500 0.500 0.000
0.250 0.750 0.500
0.621 0.125 0.250
0.129 0.625 0.250
0.375 0.379 0.750
0.875 0.871 0.750
0.000 0.000 0.000
0.750 0.250 0.500
```

Properties
**Energy relative to the elements**: 0.44 eV/atom
**Symmetry**: I-42d (122)
**Total magnetization**: 3.91 μB/f.u.



(5)
A relaxed structure of MgCr2InAg, computed with PBE.

Cell and atoms, written as POSCAR:
```
MgCr2InAg
1.0
-2.510 0.433 4.320
-4.417 0.096 -2.576
-0.299 -4.995 0.327
Cr Mg Ag In
2 1 1 1
Direct
0.000 0.000 0.500
0.500 0.000 0.000
0.000 0.000 0.000
0.500 0.500 0.500
0.000 0.500 0.000
```

Properties
**Energy relative to the elements**: 1.30 eV/atom
**Symmetry**: P4/mmm (123)
**Total magnetization**: 8.87 μB/f.u.



(6)
A relaxed structure of CrInNi2Ag, computed with PBE.

Cell and atoms, written as POSCAR:
```
CrInNi2Ag
1.0
4.660 0.000 0.000
0.000 4.999 0.000
0.000 0.000 4.660
Ni Cr Ag In
2 1 1 1
Direct
0.000 0.000 0.500
0.500 0.000 0.000
0.500 0.500 0.500
0.000 0.500 0.000
0.000 0.000 0.000
```

Properties
**Energy relative to the elements**: 1.23 eV/atom
**Symmetry**: P4/mmm (123)
**Total magnetization**: 4.70 μB/f.u.